VASP calculation (PBE) on an optimized crystal structure of LaYCr2W.

Output
- Size of the total moment: 0.6784 μB per atom
- E_form: 11.2 eV/f.u.
- Space-group type: No. 123

Cell lengths 4.840, 5.423, 4.840 Å; angles 90.00, 90.00, 90.00 degrees
Each line ends with the local moment (μB).
Fractional coordinates of all 5 atoms:
Y  0.000  0.000  0.000  -0.11
Cr  0.000  0.000  0.500  2.82
Cr  0.500  0.000  0.000  3.46
W  0.500  0.500  0.500  -2.40
La  0.000  0.500  0.000  -0.21